VASP calculation (PBE) on LaPm7In4 after structural relaxation.

Electronic total energy, eV per atom: -4.242

Lattice parameters (Å, degrees): 7.898 7.898 10.801 120.97 120.97 43.13
Element x y z (fractional)
La: 0.000 0.000 0.000
Pm: 0.063 0.063 0.394
Pm: 0.206 0.206 0.879
Pm: 0.284 0.284 0.347
Pm: 0.500 0.500 0.000
Pm: 0.716 0.716 0.653
Pm: 0.794 0.794 0.121
Pm: 0.937 0.937 0.606
In: 0.318 0.318 0.668
In: 0.441 0.441 0.243
In: 0.559 0.559 0.757
In: 0.682 0.682 0.332